Entry 1:
Below is a crystal of TiPbS2 relaxed with PBEsol, with properties calculated at the meta-GGA SCAN level.

The structure in CIF format:
```
data_TiPbS2
_chemical_formula_sum 'Ti2 Pb2 S4'
_symmetry_space_group_name_H-M 'P 1'
_symmetry_Int_Tables_number 1
_symmetry_space_group_name_Hall 'P 1'
_cell_length_a 6.8329
_cell_length_b 6.8329
_cell_length_c 6.8329
_cell_angle_alpha 125.02
_cell_angle_beta 125.02
_cell_angle_gamma 81.51
loop_
_atom_site_label
_atom_site_fract_x
_atom_site_fract_y
_atom_site_fract_z
Ti1 0.0000 0.0000 0.0000
Ti2 0.7500 0.2500 0.5000
Pb1 0.2500 0.7500 0.5000
Pb2 0.5000 0.5000 0.0000
S1 0.0487 0.6250 0.9237
S2 0.3750 0.2987 0.4237
S3 0.7013 0.1250 0.0763
S4 0.8750 0.9513 0.5763
```

Computed properties:
Space-group type: I-42d, No. 122
E: -28.5055 eV per atom
E_form (uncorrected): -0.739 eV/atom
D(E_F): 7.52 states/eV/cell



Entry 2:
Below is a crystal of CaCuRe2 relaxed with PBEsol, with properties calculated at the meta-GGA SCAN level.

The structure in CIF format:
```
data_CaCuRe2
_chemical_formula_sum 'Ca1 Cu1 Re2'
_symmetry_space_group_name_H-M 'P 1'
_symmetry_Int_Tables_number 1
_symmetry_space_group_name_Hall 'P 1'
_cell_length_a 4.4526
_cell_length_b 4.4526
_cell_length_c 4.4526
_cell_angle_alpha 120.85
_cell_angle_beta 119.25
_cell_angle_gamma 89.92
loop_
_atom_site_label
_atom_site_fract_x
_atom_site_fract_y
_atom_site_fract_z
Ca1 0.0000 0.0000 0.0000
Cu1 0.2523 0.7523 0.5000
Re1 0.5044 0.5044 0.0000
Re2 0.7444 0.2444 0.5000
```

Computed properties:
Polymorph energy (0 for the lowest one): 272 meV per atom
Space-group type: Imm2, No. 44
E: -41.2221 eV per atom
D(E_F): 3.64 states/eV/cell



Entry 3:
Below is a crystal of MgCr2Tc relaxed with PBEsol, with properties calculated at the meta-GGA SCAN level.

The structure in CIF format:
```
data_MgCr2Tc
_chemical_formula_sum 'Mg1 Cr2 Tc1'
_symmetry_space_group_name_H-M 'P 1'
_symmetry_Int_Tables_number 1
_symmetry_space_group_name_Hall 'P 1'
_cell_length_a 2.5539
_cell_length_b 4.1257
_cell_length_c 5.0850
_cell_angle_alpha 90.00
_cell_angle_beta 100.49
_cell_angle_gamma 90.00
loop_
_atom_site_label
_atom_site_fract_x
_atom_site_fract_y
_atom_site_fract_z
Mg1 0.0000 0.0000 0.0000
Cr1 0.2670 0.5000 0.7441
Cr2 0.4840 0.0000 0.5095
Tc1 0.7057 0.5000 0.2667
```

Computed properties:
Space-group type: Pm, No. 6
E: -18.8752 eV per atom
D(E_F): 3.68 states/eV/cell



Entry 4:
Below is a crystal of CaMgAsO4F relaxed with PBEsol, with properties calculated at the meta-GGA SCAN level.

The structure in CIF format:
```
data_CaMgAsO4F
_chemical_formula_sum 'Ca2 Mg2 As2 O8 F2'
_symmetry_space_group_name_H-M 'P 1'
_symmetry_Int_Tables_number 1
_symmetry_space_group_name_Hall 'P 1'
_cell_length_a 5.5992
_cell_length_b 5.5992
_cell_length_c 7.0846
_cell_angle_alpha 103.84
_cell_angle_beta 103.84
_cell_angle_gamma 106.35
loop_
_atom_site_label
_atom_site_fract_x
_atom_site_fract_y
_atom_site_fract_z
Ca1 0.1674 0.8326 0.7500
Ca2 0.8326 0.1674 0.2500
Mg1 0.5000 0.5000 0.0000
Mg2 0.5000 0.5000 0.5000
As1 0.1786 0.8214 0.2500
As2 0.8214 0.1786 0.7500
O1 0.1190 0.2396 0.9259
O2 0.1705 0.5994 0.3808
O3 0.2396 0.1190 0.4259
O4 0.4006 0.8295 0.1192
O5 0.5994 0.1705 0.8808
O6 0.7604 0.8810 0.5741
O7 0.8295 0.4006 0.6192
O8 0.8810 0.7604 0.0741
F1 0.4167 0.5833 0.7500
F2 0.5833 0.4167 0.2500
```

Computed properties:
Space-group type: C2/c, No. 15
E: -10.6449 eV per atom
E_form (uncorrected): -2.733 eV/atom
D(E_F): 0.00 states/eV/cell



Entry 5:
Below is a crystal of KMnRe2Au relaxed with PBEsol, with properties calculated at the meta-GGA SCAN level.

The structure in CIF format:
```
data_KMnRe2Au
_chemical_formula_sum 'K1 Mn1 Re2 Au1'
_symmetry_space_group_name_H-M 'P 1'
_symmetry_Int_Tables_number 1
_symmetry_space_group_name_Hall 'P 1'
_cell_length_a 5.0048
_cell_length_b 5.0048
_cell_length_c 4.9575
_cell_angle_alpha 90.00
_cell_angle_beta 90.00
_cell_angle_gamma 90.00
loop_
_atom_site_label
_atom_site_fract_x
_atom_site_fract_y
_atom_site_fract_z
K1 0.0000 0.0000 0.0000
Mn1 0.5000 0.5000 0.0000
Re1 0.0000 0.5000 0.5000
Re2 0.5000 0.0000 0.5000
Au1 0.5000 0.5000 0.5000
```

Computed properties:
Space-group type: P4/mmm, No. 123
E: -45.6398 eV per atom
D(E_F): 5.03 states/eV/cell



Entry 6:
Below is a crystal of LiMgTa2 relaxed with PBEsol, with properties calculated at the meta-GGA SCAN level.

The structure in CIF format:
```
data_LiMgTa2
_chemical_formula_sum 'Li1 Mg1 Ta2'
_symmetry_space_group_name_H-M 'P 1'
_symmetry_Int_Tables_number 1
_symmetry_space_group_name_Hall 'P 1'
_cell_length_a 2.7226
_cell_length_b 2.7226
_cell_length_c 10.2494
_cell_angle_alpha 90.00
_cell_angle_beta 90.00
_cell_angle_gamma 110.86
loop_
_atom_site_label
_atom_site_fract_x
_atom_site_fract_y
_atom_site_fract_z
Li1 0.0000 0.0000 0.0000
Mg1 0.0000 0.0000 0.5000
Ta1 0.5000 0.5000 0.2520
Ta2 0.5000 0.5000 0.7480
```

Computed properties:
Space-group type: Cmmm, No. 65
E: -34.7590 eV per atom
D(E_F): 2.78 states/eV/cell



Taking the records one at a time from the top gives magnetization values of 3.16 0.00 0.00 0.00 8.94 0.00 μB/cell.